This record from the Alexandria database describes CsBiCl2 after structural relaxation. The functional is PBE-GGA.

Computed properties:
E_form (uncorrected) (eV/atom): -0.677
Energy above the lowest structure with this stoichiometry (kJ per mole of atoms): 34.8

Cell lengths 5.7582, 5.7582, 5.7582 Å; angles 60.00, 60.00, 60.00 degrees
Positions (direct):
Cs 0.0000 0.0000 0.0000
Bi 0.5000 0.5000 0.5000
Cl 0.2500 0.2500 0.2500
Cl 0.7500 0.7500 0.7500

This record from the Alexandria database describes Cs2BiCl6 after structural relaxation. The functional is PBE-GGA.

Computed properties:
E_form (uncorrected) (eV/atom): -1.356

Cell lengths 7.6045, 7.6045, 12.7237 Å; angles 90.00, 90.00, 120.00 degrees
Positions (direct):
Cs 0.0000 0.0000 0.6231
Cs 0.0000 0.0000 0.1231
Cs 0.3333 0.6667 0.8770
Cs 0.6667 0.3333 0.3770
Bi 0.3333 0.6667 0.2539
Bi 0.6667 0.3333 0.7539
Cl 0.4950 0.9900 0.1331
Cl 0.5050 0.4950 0.6331
Cl 0.9900 0.4950 0.6331
Cl 0.0100 0.5050 0.1331
Cl 0.4950 0.5050 0.1331
Cl 0.5050 0.0100 0.6331
Cl 0.8361 0.6723 0.8656
Cl 0.1639 0.8361 0.3656
Cl 0.6723 0.8361 0.3656
Cl 0.3277 0.1639 0.8656
Cl 0.8361 0.1639 0.8656
Cl 0.1639 0.3277 0.3656

This record from the Alexandria database describes Cs3Bi2Cl9 after structural relaxation. The functional is PBE-GGA.

Computed properties:
E_form (uncorrected) (eV/atom): -1.486
Energy above the lowest structure with this stoichiometry (kJ per mole of atoms): 0.8

Cell lengths 7.7333, 7.7333, 20.0570 Å; angles 90.00, 90.00, 120.00 degrees
Positions (direct):
Cs 0.0000 0.0000 0.7500
Cs 0.0000 0.0000 0.2500
Cs 0.6667 0.3333 0.9266
Cs 0.3333 0.6667 0.0734
Cs 0.3333 0.6667 0.4266
Cs 0.6667 0.3333 0.5734
Bi 0.6667 0.3333 0.1554
Bi 0.3333 0.6667 0.8446
Bi 0.3333 0.6667 0.6554
Bi 0.6667 0.3333 0.3446
Cl 0.4979 0.9959 0.7500
Cl 0.0041 0.5021 0.7500
Cl 0.4979 0.5021 0.7500
Cl 0.5021 0.0041 0.2500
Cl 0.9959 0.4979 0.2500
Cl 0.5021 0.4979 0.2500
Cl 0.1701 0.3402 0.9157
Cl 0.6598 0.8299 0.9157
Cl 0.1701 0.8299 0.9157
Cl 0.8299 0.6598 0.0843
Cl 0.3402 0.1701 0.0843
Cl 0.8299 0.1701 0.0843
Cl 0.8299 0.6598 0.4157
Cl 0.3402 0.1701 0.4157
Cl 0.8299 0.1701 0.4157
Cl 0.1701 0.3402 0.5843
Cl 0.6598 0.8299 0.5843
Cl 0.1701 0.8299 0.5843

This record from the Alexandria database describes Cs4BiCl after structural relaxation. The functional is PBE-GGA.

Computed properties:
E_form (uncorrected) (eV/atom): -0.843

Cell lengths 8.4185, 10.1700, 10.1828 Å; angles 113.30, 106.74, 104.55 degrees
Positions (direct):
Cs 0.0093 0.2420 0.8890
Cs 0.7838 0.7152 0.6605
Cs 0.3797 0.6470 0.8890
Cs 0.3767 0.9452 0.6605
Cs 0.6233 0.0548 0.3395
Cs 0.6203 0.3530 0.1110
Cs 0.2162 0.2848 0.3395
Cs 0.9907 0.7580 0.1110
Bi 0.3893 0.6393 0.2786
Bi 0.6107 0.3607 0.7214
Cl 0.2436 0.9936 0.9873
Cl 0.7564 0.0064 0.0127

This record from the Alexandria database describes CsBiCl3 after structural relaxation. The functional is PBE-GGA.

Computed properties:
E_form (uncorrected) (eV/atom): -0.122
Energy above the lowest structure with this stoichiometry (kJ per mole of atoms): 105.7

Cell lengths 6.1954, 6.1954, 6.1954 Å; angles 90.00, 90.00, 90.00 degrees
Positions (direct):
Cs 0.0000 0.0000 0.0000
Bi 0.5000 0.5000 0.5000
Cl 0.0000 0.5000 0.0000
Cl 0.0000 0.0000 0.5000
Cl 0.5000 0.0000 0.0000

This record from the Alexandria database describes CsBi2Cl6 after structural relaxation. The functional is PBE-GGA.

Computed properties:
E_form (uncorrected) (eV/atom): -1.101

Cell lengths 7.2522, 7.6556, 7.6556 Å; angles 120.00, 90.00, 90.00 degrees
Positions (direct):
Cs 0.0000 0.0000 0.0000
Bi 0.5000 0.6667 0.3333
Bi 0.5000 0.3333 0.6667
Cl 0.6977 0.6311 0.6311
Cl 0.3023 0.6311 0.0000
Cl 0.3023 0.0000 0.6311
Cl 0.6977 0.3689 0.0000
Cl 0.3023 0.3689 0.3689
Cl 0.6977 0.0000 0.3689

This record from the Alexandria database describes Cs2BiCl after structural relaxation. The functional is PBE-GGA.

Computed properties:
E_form (uncorrected) (eV/atom): -0.693
Energy above the lowest structure with this stoichiometry (kJ per mole of atoms): 30.5

Cell lengths 6.4949, 6.4949, 6.4949 Å; angles 60.00, 60.00, 60.00 degrees
Positions (direct):
Cs 0.2500 0.2500 0.2500
Cs 0.7500 0.7500 0.7500
Bi 0.5000 0.5000 0.5000
Cl 0.0000 0.0000 0.0000

This record from the Alexandria database describes CsBiCl3 after structural relaxation. The functional is PBE-GGA.

Computed properties:
E_form (uncorrected) (eV/atom): -1.086
Energy above the lowest structure with this stoichiometry (kJ per mole of atoms): 12.6

Cell lengths 7.2474, 9.2425, 9.2425 Å; angles 77.98, 66.92, 66.92 degrees
Positions (direct):
Cs 0.0000 0.1994 0.8006
Cs 0.0000 0.8006 0.1994
Bi 0.3093 0.6907 0.6907
Bi 0.6907 0.3093 0.3093
Cl 0.5000 0.6486 0.3514
Cl 0.5000 0.3514 0.6486
Cl 0.9065 0.8355 0.8355
Cl 0.5775 0.1645 0.1645
Cl 0.0935 0.1645 0.1645
Cl 0.4225 0.8355 0.8355